The following is a DFT calculation (PBE) of a relaxed TbSe2O5 crystal.

Output
Energy: -6.032 eV per atom
Spin magnetization: 0.0 μB/f.u.

Lattice parameters (Å, degrees): 7.2853 10.7849 6.9720 90.00 90.00 90.00
With the nearest neighbours (Å) after each atom.
Element x y z (fractional)
Tb 0.0000 0.0667 0.2500  6 O 2.24-2.36
Tb 0.0000 0.9333 0.7500  6 O 2.24-2.36
Tb 0.5000 0.4333 0.7500  6 O 2.24-2.36
Tb 0.5000 0.5667 0.2500  6 O 2.24-2.36
Se 0.1231 0.3589 0.0284  2 O 1.72-1.78
Se 0.1231 0.6411 0.5284  2 O 1.72-1.78
Se 0.3769 0.1411 0.5284  2 O 1.72-1.78
Se 0.3769 0.8589 0.0284  2 O 1.72-1.78
Se 0.6231 0.1411 0.9716  2 O 1.72-1.78
Se 0.6231 0.8589 0.4716  2 O 1.72-1.78
Se 0.8769 0.3589 0.4716  2 O 1.72-1.78
Se 0.8769 0.6411 0.9716  2 O 1.72-1.78
O 0.0000 0.4301 0.2500  2 Se 1.94
O 0.0000 0.5699 0.7500  2 Se 1.94
O 0.1597 0.0651 0.5376  1 Se 1.78
O 0.1597 0.9349 0.0376  1 Se 1.78
O 0.1768 0.2202 0.1370  1 Se 1.72
O 0.1768 0.7798 0.6370  1 Se 1.72
O 0.3232 0.2798 0.6370  1 Se 1.72
O 0.3232 0.7202 0.1370  1 Se 1.72
O 0.3403 0.4349 0.0376  1 Se 1.78
O 0.3403 0.5651 0.5376  1 Se 1.78
O 0.5000 0.0699 0.7500  2 Se 1.94
O 0.5000 0.9301 0.2500  2 Se 1.94
O 0.6597 0.4349 0.4624  1 Se 1.78
O 0.6597 0.5651 0.9624  1 Se 1.78
O 0.6768 0.2798 0.8630  1 Se 1.72
O 0.6768 0.7202 0.3630  1 Se 1.72
O 0.8232 0.2202 0.3630  1 Se 1.72
O 0.8232 0.7798 0.8630  1 Se 1.72
O 0.8403 0.0651 0.9624  1 Se 1.78
O 0.8403 0.9349 0.4624  1 Se 1.78